## AlCrF2 (PBE with a Hubbard U)

Data for AlCrF2 after structural relaxation.

## Properties
Total energy ... -81.02 eV for the cell shown
Total magnetization ... 5.31 μB per formula unit
V ... 74.64 Å³/f.u.
ΔE to the lowest computed polymorph ... 21.0 kJ/mol of atoms

Lattice parameters (Å, degrees): 5.892 5.892 8.600 90.00 90.00 90.00
Space group I4_1/amd (No. 141, origin choice 2)
One atom of each set of equivalent atoms:
Al (0.000, 0.250, 0.375) [4 per cell]
Cr (0.000, 0.250, 0.875) [4 per cell]
F (0.000, 0.000, 0.500) [8 per cell]